Here is a relaxed structure of Cu2AgRu from the Alexandria database. Energies are from GGA-PBE.

a b c (Å): 6.129 6.129 6.129
angles (deg): 90.00 90.00 90.00
Space group F-43m (No. 216)
One atom of each set of equivalent atoms:
Cu  0.000  0.000  0.000 [4 per cell]
Cu  0.250  0.250  0.250 [4 per cell]
Ag  0.000  0.000  0.500 [4 per cell]
Ru  0.250  0.250  0.750 [4 per cell]

Output
Crystal system: cubic
ΔH_f (0 K), kJ/mol of formula units: 195
Excess energy over the best structure of this formula in the dataset, kJ/mol of formula units: 101
DOS(E_F), states/eV per cell: 18.27
Size of the total moment, μB per atom: 0.3623
Calculated volume, Å³ per atom: 14.39



Here is a relaxed structure of CuAgRu2 from the Alexandria database. Energies are from GGA-PBE.

a b c (Å): 2.778 4.618 9.287
angles (deg): 90.00 90.00 90.00
Space group Cmm2 (No. 35)
One atom of each set of equivalent atoms:
Cu  0.000  0.000  0.000 [2 per cell]
Ag  0.000  0.500  0.251 [2 per cell]
Ru  0.000  0.000  0.526 [2 per cell]
Ru  0.000  0.500  0.759 [2 per cell]

Output
Crystal system: orthorhombic
ΔH_f (0 K), kJ/mol of formula units: 159
Excess energy over the best structure of this formula in the dataset, kJ/mol of formula units: 68
DOS(E_F), states/eV per cell: 7.46
Size of the total moment, μB per atom: 0.2370
Calculated volume, Å³ per atom: 14.89



Here is a relaxed structure of Cu2AgRu from the Alexandria database. Energies are from GGA-PBE.

a b c (Å): 2.7028 2.7028 26.7402
angles (deg): 90.00 90.00 120.00
Space group R3m (No. 160, hexagonal axes)
One atom of each set of equivalent atoms:
Cu  0.0000  0.0000  0.0000 [3 per cell]
Cu  0.0000  0.0000  0.2577 [3 per cell]
Ag  0.0000  0.0000  0.7529 [3 per cell]
Ru  0.0000  0.0000  0.5117 [3 per cell]

Output
Crystal system: trigonal
ΔH_f (0 K), kJ/mol of formula units: 109
Excess energy over the best structure of this formula in the dataset, kJ/mol of formula units: 15
DOS(E_F), states/eV per cell: 9.71
Size of the total moment, μB per atom: 0.0513
Calculated volume, Å³ per atom: 14.10



Here is a relaxed structure of CuAgRu2 from the Alexandria database. Energies are from GGA-PBE.

a b c (Å): 2.628 2.628 8.428
angles (deg): 90.00 90.00 90.00
Space group P4/mmm (No. 123)
One atom of each set of equivalent atoms:
Cu  0.000  0.000  0.000 [1 per cell]
Ag  0.000  0.000  0.500 [1 per cell]
Ru  0.500  0.500  0.229 [2 per cell]

Output
Crystal system: tetragonal
ΔH_f (0 K), kJ/mol of formula units: 207
Excess energy over the best structure of this formula in the dataset, kJ/mol of formula units: 116
DOS(E_F), states/eV per cell: 6.23
Size of the total moment, μB per atom: 0.0230
Calculated volume, Å³ per atom: 14.55



Here is a relaxed structure of Cu2AgRu from the Alexandria database. Energies are from GGA-PBE.

a b c (Å): 4.260 2.617 10.068
angles (deg): 90.00 90.00 90.00
Space group Amm2 (No. 38)
One atom of each set of equivalent atoms:
Cu  0.000  0.000  0.000 [2 per cell]
Cu  0.500  0.000  0.134 [2 per cell]
Ag  0.500  0.000  0.390 [2 per cell]
Ru  0.000  0.000  0.731 [2 per cell]

Output
Crystal system: orthorhombic
ΔH_f (0 K), kJ/mol of formula units: 124
Excess energy over the best structure of this formula in the dataset, kJ/mol of formula units: 31
DOS(E_F), states/eV per cell: 8.49
Size of the total moment, μB per atom: 0.0000
Calculated volume, Å³ per atom: 14.03



Here is a relaxed structure of CuAgRu2 from the Alexandria database. Energies are from GGA-PBE.

a b c (Å): 2.751 4.371 9.785
angles (deg): 90.00 90.00 90.00
Space group Immm (No. 71)
One atom of each set of equivalent atoms:
Cu  0.000  0.000  0.000 [2 per cell]
Ag  0.000  0.000  0.500 [2 per cell]
Ru  0.000  0.500  0.281 [4 per cell]

Output
Crystal system: orthorhombic
ΔH_f (0 K), kJ/mol of formula units: 165
Excess energy over the best structure of this formula in the dataset, kJ/mol of formula units: 74
DOS(E_F), states/eV per cell: 8.27
Size of the total moment, μB per atom: 0.0001
Calculated volume, Å³ per atom: 14.71



Here is a relaxed structure of CuAgRu2 from the Alexandria database. Energies are from GGA-PBE.

a b c (Å): 6.144 6.144 6.144
angles (deg): 90.00 90.00 90.00
Space group Fm-3m (No. 225)
One atom of each set of equivalent atoms:
Cu  0.000  0.000  0.000 [4 per cell]
Ag  0.000  0.000  0.500 [4 per cell]
Ru  0.250  0.250  0.250 [8 per cell]

Output
Crystal system: cubic
ΔH_f (0 K), kJ/mol of formula units: 281
Excess energy over the best structure of this formula in the dataset, kJ/mol of formula units: 190
DOS(E_F), states/eV per cell: 17.09
Size of the total moment, μB per atom: 0.0000
Calculated volume, Å³ per atom: 14.49



Here is a relaxed structure of CuAg2Ru from the Alexandria database. Energies are from GGA-PBE.

a b c (Å): 2.821 4.673 9.516
angles (deg): 90.00 90.00 90.00
Space group Cmm2 (No. 35)
One atom of each set of equivalent atoms:
Cu  0.000  0.000  0.000 [2 per cell]
Ag  0.000  0.000  0.513 [2 per cell]
Ag  0.000  0.500  0.243 [2 per cell]
Ru  0.000  0.500  0.775 [2 per cell]

Output
Crystal system: orthorhombic
ΔH_f (0 K), kJ/mol of formula units: 134
Excess energy over the best structure of this formula in the dataset, kJ/mol of formula units: 21
DOS(E_F), states/eV per cell: 6.12
Size of the total moment, μB per atom: 0.1326
Calculated volume, Å³ per atom: 15.68



Here is a relaxed structure of Cu2AgRu from the Alexandria database. Energies are from GGA-PBE.

a b c (Å): 4.579 4.579 2.670
angles (deg): 90.00 90.00 90.00
Space group P4/mmm (No. 123)
One atom of each set of equivalent atoms:
Cu  0.000  0.500  0.000 [2 per cell]
Ag  0.000  0.000  0.500 [1 per cell]
Ru  0.500  0.500  0.500 [1 per cell]

Output
Crystal system: tetragonal
ΔH_f (0 K), kJ/mol of formula units: 123
Excess energy over the best structure of this formula in the dataset, kJ/mol of formula units: 30
DOS(E_F), states/eV per cell: 3.33
Size of the total moment, μB per atom: 0.0000
Calculated volume, Å³ per atom: 13.99



Here is a relaxed structure of CuAgRu4 from the Alexandria database. Energies are from GGA-PBE.

a b c (Å): 7.221 7.221 7.221
angles (deg): 90.00 90.00 90.00
Space group F-43m (No. 216)
One atom of each set of equivalent atoms:
Cu  0.000  0.000  0.000 [4 per cell]
Ag  0.250  0.250  0.750 [4 per cell]
Ru  0.125  0.125  0.375 [16 per cell]

Output
Crystal system: cubic
ΔH_f (0 K), kJ/mol of formula units: 430
DOS(E_F), states/eV per cell: 38.36
Size of the total moment, μB per atom: 0.3758
Calculated volume, Å³ per atom: 15.69



Here is a relaxed structure of CuAg2Ru from the Alexandria database. Energies are from GGA-PBE.

a b c (Å): 4.113 4.113 7.435
angles (deg): 90.00 90.00 90.00
Space group I-4m2 (No. 119)
One atom of each set of equivalent atoms:
Cu  0.000  0.000  0.000 [2 per cell]
Ag  0.000  0.000  0.500 [2 per cell]
Ag  0.000  0.500  0.250 [2 per cell]
Ru  0.000  0.500  0.750 [2 per cell]

Output
Crystal system: tetragonal
ΔH_f (0 K), kJ/mol of formula units: 200
Excess energy over the best structure of this formula in the dataset, kJ/mol of formula units: 86
DOS(E_F), states/eV per cell: 8.43
Size of the total moment, μB per atom: 0.4075
Calculated volume, Å³ per atom: 15.72



Here is a relaxed structure of CuAg2Ru from the Alexandria database. Energies are from GGA-PBE.

a b c (Å): 2.650 4.652 5.083
angles (deg): 90.00 96.22 90.00
Space group P2/m (No. 10)
One atom of each set of equivalent atoms:
Cu  0.000  0.000  0.000 [1 per cell]
Ag  0.202  0.500  0.755 [2 per cell]
Ru  0.500  0.000  0.500 [1 per cell]

Output
Crystal system: monoclinic
ΔH_f (0 K), kJ/mol of formula units: 174
Excess energy over the best structure of this formula in the dataset, kJ/mol of formula units: 61
DOS(E_F), states/eV per cell: 3.98
Size of the total moment, μB per atom: 0.0510
Calculated volume, Å³ per atom: 15.57



Here is a relaxed structure of CuAgRuS2 from the Alexandria database. Energies are from GGA-PBE.

a b c (Å): 4.765 4.765 4.671
angles (deg): 90.00 90.00 90.00
Space group P4/mmm (No. 123)
One atom of each set of equivalent atoms:
Cu  0.000  0.000  0.000 [1 per cell]
Ag  0.000  0.000  0.500 [1 per cell]
Ru  0.500  0.500  0.000 [1 per cell]
S  0.000  0.500  0.500 [2 per cell]

Output
Crystal system: tetragonal
DOS(E_F), states/eV per cell: 3.46
Size of the total moment, μB per atom: 0.5723
Calculated volume, Å³ per atom: 21.21
Raw total energy, eV per atom: -3.570



Here is a relaxed structure of SrCuAg2Ru from the Alexandria database. Energies are from GGA-PBE.

a b c (Å): 5.152 5.152 4.723
angles (deg): 90.00 90.00 90.00
Space group P4/mmm (No. 123)
One atom of each set of equivalent atoms:
Sr  0.000  0.000  0.000 [1 per cell]
Cu  0.500  0.500  0.000 [1 per cell]
Ag  0.000  0.500  0.500 [2 per cell]
Ru  0.500  0.500  0.500 [1 per cell]

Output
Crystal system: tetragonal
ΔH_f (0 K), kJ/mol of formula units: 252
DOS(E_F), states/eV per cell: 4.14
Size of the total moment, μB per atom: 0.2733
Calculated volume, Å³ per atom: 25.08



Here is a relaxed structure of Tb4CuAgRu2 from the Alexandria database. Energies are from GGA-PBE.

a b c (Å): 4.9278 4.9278 24.1841
angles (deg): 90.00 90.00 120.00
Space group R-3m (No. 166, hexagonal axes)
One atom of each set of equivalent atoms:
Tb  0.0000  0.0000  0.1226 [6 per cell]
Tb  0.0000  0.0000  0.3729 [6 per cell]
Cu  0.0000  0.0000  0.0000 [3 per cell]
Ag  0.0000  0.0000  0.5000 [3 per cell]
Ru  0.0000  0.0000  0.2503 [6 per cell]

Output
Crystal system: trigonal
ΔH_f (0 K), kJ/mol of formula units: -251
DOS(E_F), states/eV per cell: 14.13
Size of the total moment, μB per atom: 0.0000
Calculated volume, Å³ per atom: 21.19



Here is a relaxed structure of Tm4CuAgRu2 from the Alexandria database. Energies are from GGA-PBE.

a b c (Å): 4.8419 4.8419 23.7142
angles (deg): 90.00 90.00 120.00
Space group R-3m (No. 166, hexagonal axes)
One atom of each set of equivalent atoms:
Tm  0.0000  0.0000  0.1227 [6 per cell]
Tm  0.0000  0.0000  0.3728 [6 per cell]
Cu  0.0000  0.0000  0.0000 [3 per cell]
Ag  0.0000  0.0000  0.5000 [3 per cell]
Ru  0.0000  0.0000  0.2503 [6 per cell]

Output
Crystal system: trigonal
ΔH_f (0 K), kJ/mol of formula units: -314
DOS(E_F), states/eV per cell: 10.77
Size of the total moment, μB per atom: 0.0000
Calculated volume, Å³ per atom: 20.06



Here is a relaxed structure of Cu4AgS3 from the Alexandria database. Energies are from GGA-PBE.

a b c (Å): 3.792 3.792 9.008
angles (deg): 90.00 90.00 90.00
Space group P4/mmm (No. 123)
One atom of each set of equivalent atoms:
Cu  0.000  0.500  0.173 [4 per cell]
Ag  0.000  0.000  0.500 [1 per cell]
S  0.000  0.000  0.000 [1 per cell]
S  0.500  0.500  0.319 [2 per cell]

Output
Crystal system: tetragonal
DOS(E_F), states/eV per cell: 3.94
Size of the total moment, μB per atom: 0.0000
Calculated volume, Å³ per atom: 16.19
Raw total energy, eV per atom: -3.985



Here is a relaxed structure of CuAg5S4 from the Alexandria database. Energies are from GGA-PBE.

a b c (Å): 16.971 3.597 6.773
angles (deg): 90.00 112.18 90.00
Space group C2/m (No. 12)
One atom of each set of equivalent atoms:
Cu  0.000  0.000  0.000 [2 per cell]
Ag  0.000  0.000  0.500 [2 per cell]
Ag  0.186  0.500  0.117 [4 per cell]
Ag  0.195  0.500  0.564 [4 per cell]
S  0.058  0.500  0.217 [4 per cell]
S  0.151  0.000  0.785 [4 per cell]

Output
Crystal system: monoclinic
DOS(E_F), states/eV per cell: 5.57
Size of the total moment, μB per atom: 0.0000
Calculated volume, Å³ per atom: 19.15
Raw total energy, eV per atom: -3.462



Here is a relaxed structure of CuAgS from the Alexandria database. Energies are from GGA-PBE.

a b c (Å): 9.168 9.892 10.244
angles (deg): 90.00 90.00 90.00
Space group Fddd (No. 70, origin choice 2)
One atom of each set of equivalent atoms:
Cu  0.000  0.000  0.000 [16 per cell]
Ag  0.125  0.125  0.468 [16 per cell]
S  0.115  0.375  0.875 [16 per cell]

Output
Crystal system: orthorhombic
DOS(E_F), states/eV per cell: 0.34
Size of the total moment, μB per atom: 0.0000
Calculated volume, Å³ per atom: 19.36
Raw total energy, eV per atom: -3.753



Here is a relaxed structure of CuAg2S from the Alexandria database. Energies are from GGA-PBE.

a b c (Å): 3.905 3.905 18.457
angles (deg): 90.00 90.00 90.00
Space group I-42d (No. 122)
One atom of each set of equivalent atoms:
Cu  0.000  0.000  0.000 [4 per cell]
Ag  0.249  0.250  0.625 [8 per cell]
S  0.000  0.000  0.500 [4 per cell]

Output
Crystal system: tetragonal
DOS(E_F), states/eV per cell: 4.36
Size of the total moment, μB per atom: 0.0000
Calculated volume, Å³ per atom: 17.59
Raw total energy, eV per atom: -3.199